# GGA-PBEsol Sm2IrRu, optimized geometry
data_Sm2IrRu
_symmetry_space_group_name_H-M 'P 1'
_symmetry_Int_Tables_number 1
_symmetry_space_group_name_Hall 'P 1'
_cell_length_a 4.849
_cell_length_b 4.849
_cell_length_c 4.849
_cell_angle_alpha 60.00
_cell_angle_beta 60.00
_cell_angle_gamma 60.00
loop_
_atom_site_label
_atom_site_fract_x
_atom_site_fract_y
_atom_site_fract_z
Sm1 0.250 0.250 0.250
Sm2 0.750 0.750 0.750
Ir1 0.000 0.000 0.000
Ru1 0.500 0.500 0.500
# raw total energy = -7.90 eV/atom
# ΔH_f (0 K) = -0.357 eV/atom
# crystal system = cubic

# GGA-PBEsol Sr2IrRu, optimized geometry
data_Sr2IrRu
_symmetry_space_group_name_H-M 'P 1'
_symmetry_Int_Tables_number 1
_symmetry_space_group_name_Hall 'P 1'
_cell_length_a 4.958
_cell_length_b 4.958
_cell_length_c 5.757
_cell_angle_alpha 99.10
_cell_angle_beta 99.10
_cell_angle_gamma 37.39
loop_
_atom_site_label
_atom_site_fract_x
_atom_site_fract_y
_atom_site_fract_z
Sr1 0.250 0.250 0.250
Sr2 0.750 0.750 0.750
Ir1 0.000 0.000 0.500
Ru1 0.500 0.500 0.000
# raw total energy = -5.13 eV/atom
# ΔH_f (0 K) = 0.794 eV/atom
# crystal system = monoclinic

# GGA-PBEsol SrIr2Ru, optimized geometry
data_SrIr2Ru
_symmetry_space_group_name_H-M 'P 1'
_symmetry_Int_Tables_number 1
_symmetry_space_group_name_Hall 'P 1'
_cell_length_a 2.846
_cell_length_b 2.846
_cell_length_c 8.299
_cell_angle_alpha 90.00
_cell_angle_beta 90.00
_cell_angle_gamma 90.00
loop_
_atom_site_label
_atom_site_fract_x
_atom_site_fract_y
_atom_site_fract_z
Sr1 0.000 0.000 0.000
Ir1 0.500 0.500 0.295
Ir2 0.500 0.500 0.705
Ru1 0.000 0.000 0.500
# raw total energy = -7.68 eV/atom
# ΔH_f (0 K) = 0.238 eV/atom
# crystal system = tetragonal
# distance to the lowest polymorph of the same formula = 0.000 eV per atom

# GGA-PBEsol SrIr2Ru, optimized geometry
data_SrIr2Ru
_symmetry_space_group_name_H-M 'P 1'
_symmetry_Int_Tables_number 1
_symmetry_space_group_name_Hall 'P 1'
_cell_length_a 4.777
_cell_length_b 4.777
_cell_length_c 5.671
_cell_angle_alpha 99.24
_cell_angle_beta 99.24
_cell_angle_gamma 34.46
loop_
_atom_site_label
_atom_site_fract_x
_atom_site_fract_y
_atom_site_fract_z
Sr1 0.000 0.000 0.000
Ir1 0.501 0.501 0.509
Ir2 0.765 0.765 0.312
Ru1 0.234 0.234 0.666
# raw total energy = -7.52 eV/atom
# ΔH_f (0 K) = 0.396 eV/atom
# crystal system = monoclinic
# distance to the lowest polymorph of the same formula = 0.157 eV per atom

DOS(E_F) for every record listed, in sequence, given in states/eV/cell: 2.27 2.95 2.80 4.23.
Calculated volume for every record listed, in sequence, given in Å³/f.u.: 80.6 84.7 67.2 72.2.